No. 1
# GGA-PBE PrPPbBr2, relaxed
data_PrPPbBr2
_chemical_formula_sum 'Pr1 P1 Pb1 Br2'
_space_group_name_H-M_alt 'P 1'
_space_group_IT_number 1
_cell_length_a 4.293
_cell_length_b 4.293
_cell_length_c 10.892
_cell_angle_alpha 90.00
_cell_angle_beta 90.00
_cell_angle_gamma 120.00
loop_
_space_group_symop_operation_xyz
'x,y,z'
loop_
_atom_site_label
_atom_site_fract_x
_atom_site_fract_y
_atom_site_fract_z
Pr1 0.000 0.000 0.000
P1 0.333 0.667 0.135
Pb1 0.667 0.333 0.304
Br1 0.000 0.000 0.473
Br2 0.667 0.333 0.833
# Total magnetization (Bohr magnetons per cell): 0.0
# Volume (Å³/cell): 173.8
# E_tot (eV/cell): -22.952

***

No. 2
# GGA-PBE ErGa2Au2, relaxed
data_ErGa2Au2
_chemical_formula_sum 'Er2 Ga4 Au4'
_space_group_name_H-M_alt 'P 1'
_space_group_IT_number 1
_cell_length_a 3.998
_cell_length_b 3.998
_cell_length_c 12.481
_cell_angle_alpha 90.00
_cell_angle_beta 90.00
_cell_angle_gamma 90.00
loop_
_space_group_symop_operation_xyz
'x,y,z'
loop_
_atom_site_label
_atom_site_fract_x
_atom_site_fract_y
_atom_site_fract_z
Er1 0.000 0.000 0.000
Er2 0.500 0.500 0.500
Ga1 0.000 0.500 0.250
Ga2 0.000 0.500 0.750
Ga3 0.500 0.000 0.250
Ga4 0.500 0.000 0.750
Au1 0.000 0.000 0.392
Au2 0.000 0.000 0.608
Au3 0.500 0.500 0.108
Au4 0.500 0.500 0.892
# Total magnetization (Bohr magnetons per cell): 0.0
# Volume (Å³/cell): 199.5
# E_tot (eV/cell): -40.005

***

No. 3
# GGA-PBE HoScAg, relaxed
data_HoScAg
_chemical_formula_sum 'Ho4 Sc4 Ag4'
_space_group_name_H-M_alt 'P 1'
_space_group_IT_number 1
_cell_length_a 6.764
_cell_length_b 6.764
_cell_length_c 6.764
_cell_angle_alpha 90.00
_cell_angle_beta 90.00
_cell_angle_gamma 90.00
loop_
_space_group_symop_operation_xyz
'x,y,z'
loop_
_atom_site_label
_atom_site_fract_x
_atom_site_fract_y
_atom_site_fract_z
Ho1 0.000 0.000 0.000
Ho2 0.000 0.500 0.500
Ho3 0.500 0.000 0.500
Ho4 0.500 0.500 0.000
Sc1 0.250 0.250 0.250
Sc2 0.250 0.750 0.750
Sc3 0.750 0.250 0.750
Sc4 0.750 0.750 0.250
Ag1 0.250 0.250 0.750
Ag2 0.250 0.750 0.250
Ag3 0.750 0.250 0.250
Ag4 0.750 0.750 0.750
# Total magnetization (Bohr magnetons per cell): 0.0
# Volume (Å³/cell): 309.4
# Excess energy over the best structure of this formula in the dataset (eV per formula unit): 0.26
# Formation energy from the elements (eV/f.u.): 1.82